Computed, not measured: crystalline ScTcPb2 at its relaxed geometry at the PBE-GGA level of DFT.

a b c (Å): 4.7913 4.7913 3.7493
angles (deg): 90.00 90.00 96.16
Element x y z (fractional)
Sc 0.0000 0.0000 0.0000
Tc 0.5000 0.5000 0.0000
Pb 0.0000 0.5000 0.5000
Pb 0.5000 0.0000 0.5000

space-group type = No. 65
V = 21.39 A^3/atom
offset from the most stable computed form = 0.84 eV/f.u.
energy of formation from the pure elements = 0.283 eV/atom
density of states at the Fermi level = 3.6 states/eV/f.u.



Computed, not measured: crystalline SrZnOs at its relaxed geometry at the PBE-GGA level of DFT.

a b c (Å): 3.1767 3.1767 7.0663
angles (deg): 90.00 90.00 120.00
Element x y z (fractional)
Sr 0.0000 0.0000 0.0000
Zn 0.3333 0.6667 0.3963
Os 0.6667 0.3333 0.6620

space-group type = No. 156
V = 20.59 A^3/atom
energy of formation from the pure elements = 0.830 eV/atom
density of states at the Fermi level = 2.8 states/eV/f.u.



Computed, not measured: crystalline Dy2ErTh3S6 at its relaxed geometry at the PBE-GGA level of DFT.

a b c (Å): 6.7184 6.7184 7.1164
angles (deg): 99.03 99.03 119.70
Element x y z (fractional)
Dy 0.1665 0.8335 0.0000
Dy 0.8335 0.1665 0.0000
Er 0.5000 0.5000 0.0000
Th 0.0000 0.0000 0.5000
Th 0.3324 0.6676 0.5000
Th 0.6676 0.3324 0.5000
S 0.0919 0.4229 0.7686
S 0.2466 0.2466 0.2327
S 0.4229 0.0919 0.7686
S 0.5771 0.9081 0.2314
S 0.7534 0.7534 0.7673
S 0.9081 0.5771 0.2314

space-group type = No. 12
V = 22.09 A^3/atom
density of states at the Fermi level = 7.1 states/eV/f.u.
formation energy from raw total energies = -1900 meV per atom



Computed, not measured: crystalline Rb2CaNb at its relaxed geometry at the PBE-GGA level of DFT.

a b c (Å): 14.6469 14.6469 14.6469
angles (deg): 159.84 159.84 28.67
Element x y z (fractional)
Rb 0.1137 0.6250 0.9887
Rb 0.3750 0.3637 0.4887
Rb 0.6363 0.1250 0.0113
Rb 0.8750 0.8863 0.5113
Ca 0.2500 0.7500 0.5000
Ca 0.5000 0.5000 0.0000
Nb 0.0000 0.0000 0.0000
Nb 0.7500 0.2500 0.5000

space-group type = No. 122
V = 46.65 A^3/atom
offset from the most stable computed form = 0.00 eV/f.u.
energy of formation from the pure elements = 1.223 eV/atom
density of states at the Fermi level = 3.7 states/eV/f.u.



Computed, not measured: crystalline FeSiHgBiH at its relaxed geometry at the PBE-GGA level of DFT.

a b c (Å): 5.1649 5.1649 5.7820
angles (deg): 108.04 108.04 35.93
Element x y z (fractional)
Fe 0.0000 0.0000 0.0000
Si 0.6067 0.6067 0.2942
Hg 0.8963 0.8963 0.4473
Bi 0.6913 0.6913 0.8296
H 0.4322 0.4322 0.9715

space-group type = No. 8
V = 17.12 A^3/atom
offset from the most stable computed form = 0.81 eV/f.u.
density of states at the Fermi level = 2.6 states/eV/f.u.



Computed, not measured: crystalline AcCe2PtN4 at its relaxed geometry at the PBE-GGA level of DFT.

a b c (Å): 6.3129 6.3129 12.0219
angles (deg): 90.00 90.00 147.27
Element x y z (fractional)
Ac 0.1078 0.8922 0.7500
Ac 0.8922 0.1078 0.2500
Ce 0.3698 0.6302 0.5532
Ce 0.3698 0.6302 0.9468
Ce 0.6302 0.3698 0.0532
Ce 0.6302 0.3698 0.4468
Pt 0.1549 0.8451 0.2500
Pt 0.8451 0.1549 0.7500
N 0.0000 0.0000 0.0000
N 0.0000 0.0000 0.5000
N 0.2700 0.7300 0.1094
N 0.2700 0.7300 0.3906
N 0.4470 0.5530 0.7500
N 0.5530 0.4470 0.2500
N 0.7300 0.2700 0.6094
N 0.7300 0.2700 0.8906

space-group type = No. 63
V = 16.19 A^3/atom
density of states at the Fermi level = 3.0 states/eV/f.u.
formation energy from raw total energies = -1008 meV per atom



Computed, not measured: crystalline LiOsAu3 at its relaxed geometry at the PBE-GGA level of DFT.

a b c (Å): 4.3459 4.3459 4.3459
angles (deg): 90.00 90.00 90.00
Element x y z (fractional)
Li 0.0000 0.0000 0.0000
Os 0.5000 0.5000 0.5000
Au 0.0000 0.0000 0.5000
Au 0.0000 0.5000 0.0000
Au 0.5000 0.0000 0.0000

space-group type = No. 221
V = 16.42 A^3/atom
offset from the most stable computed form = 0.44 eV/f.u.
energy of formation from the pure elements = 0.910 eV/atom
density of states at the Fermi level = 3.0 states/eV/f.u.



Computed, not measured: crystalline LiYTl2H at its relaxed geometry at the PBE-GGA level of DFT.

a b c (Å): 4.7743 4.7743 5.5090
angles (deg): 90.00 90.00 90.00
Element x y z (fractional)
Li 0.0000 0.0000 0.0000
Y 0.0000 0.0000 0.5000
Tl 0.0000 0.5000 0.0000
Tl 0.5000 0.0000 0.0000
H 0.5000 0.5000 0.5000

space-group type = No. 123
V = 25.11 A^3/atom
E = -2.764 eV per atom
density of states at the Fermi level = 4.4 states/eV/f.u.



Computed, not measured: crystalline Sr3TbCd4 at its relaxed geometry at the PBE-GGA level of DFT.

a b c (Å): 3.9470 3.9470 16.1397
angles (deg): 90.00 90.00 90.00
Element x y z (fractional)
Sr 0.0000 0.0000 0.0000
Sr 0.0000 0.0000 0.2603
Sr 0.0000 0.0000 0.7397
Tb 0.0000 0.0000 0.5000
Cd 0.5000 0.5000 0.1301
Cd 0.5000 0.5000 0.3950
Cd 0.5000 0.5000 0.6050
Cd 0.5000 0.5000 0.8699

space-group type = No. 123
V = 31.43 A^3/atom
energy of formation from the pure elements = -0.320 eV/atom
density of states at the Fermi level = 6.6 states/eV/f.u.



Computed, not measured: crystalline Ba6Li3I14 at its relaxed geometry at the PBE-GGA level of DFT.

a b c (Å): 12.5746 12.5746 6.9937
angles (deg): 90.00 90.00 120.00
Element x y z (fractional)
Ba 0.0352 0.5699 0.0000
Ba 0.2979 0.0942 0.5036
Ba 0.4301 0.4653 0.0000
Ba 0.5347 0.9648 0.0000
Ba 0.7964 0.7021 0.5036
Ba 0.9058 0.2036 0.5036
Li 0.0000 0.0000 0.9124
Li 0.3333 0.6667 0.4090
Li 0.6667 0.3333 0.2593
I 0.0000 0.0000 0.2974
I 0.0750 0.8431 0.7721
I 0.1569 0.2318 0.7721
I 0.1788 0.4344 0.2696
I 0.2556 0.8212 0.2696
I 0.3333 0.6667 0.7941
I 0.4305 0.1812 0.0211
I 0.5124 0.4158 0.4987
I 0.5656 0.7444 0.2696
I 0.5842 0.0966 0.4987
I 0.7506 0.5695 0.0211
I 0.7682 0.9250 0.7721
I 0.8188 0.2494 0.0211
I 0.9034 0.4876 0.4987

space-group type = No. 143
V = 41.64 A^3/atom
density of states at the Fermi level = 5.5 states/eV/f.u.
formation energy from raw total energies = -1579 meV per atom



Computed, not measured: crystalline K3TbSb2Se6 at its relaxed geometry at the PBE-GGA level of DFT.

a b c (Å): 7.3577 7.3577 8.0666
angles (deg): 98.74 98.74 120.00
Element x y z (fractional)
K 0.0000 0.0000 0.0000
K 0.3314 0.6686 0.0000
K 0.6686 0.3314 0.0000
Tb 0.5000 0.5000 0.5000
Sb 0.1665 0.8335 0.5000
Sb 0.8335 0.1665 0.5000
Se 0.0992 0.4316 0.2945
Se 0.2363 0.2363 0.7061
Se 0.4316 0.0992 0.2945
Se 0.5684 0.9008 0.7055
Se 0.7637 0.7637 0.2939
Se 0.9008 0.5684 0.7055

space-group type = No. 12
V = 30.03 A^3/atom
formation energy from raw total energies = -1054 meV per atom



Computed, not measured: crystalline CeSmTmGa at its relaxed geometry at the PBE-GGA level of DFT.

a b c (Å): 5.3274 5.3274 5.3274
angles (deg): 60.00 60.00 60.00
Element x y z (fractional)
Ce 0.0000 0.0000 0.0000
Sm 0.5000 0.5000 0.5000
Tm 0.7500 0.7500 0.7500
Ga 0.2500 0.2500 0.2500

space-group type = No. 216
V = 26.73 A^3/atom
energy of formation from the pure elements = -0.082 eV/atom
density of states at the Fermi level = 9.0 states/eV/f.u.